The following is a PBE-GGA calculation of crystalline OsSe2Cl at its relaxed geometry, from the Alexandria database.

abc: 6.648 6.648 9.598
angles: 90.00 90.00 90.00
Space group I-42d (No. 122)
Inequivalent atoms, fractional coordinates:
Os1 0.000 0.000 0.000 (multiplicity 4)
Se1 0.170 0.250 0.125 (multiplicity 8)
Cl1 0.000 0.000 0.500 (multiplicity 4)

Properties
polymorph energy (0 for the lowest one)	0.175	eV per atom
spin magnetization	0.0	μB per cell
DFT total energy	-4.844	eV/atom
calculated volume	26.51	Å³ per atom

---

The following is a PBE-GGA calculation of crystalline ScGeRh3 at its relaxed geometry, from the Alexandria database.

abc: 4.516 4.516 4.516
angles: 90.00 90.00 90.00
Space group Pm-3m (No. 221)
Inequivalent atoms, fractional coordinates:
Sc1 0.000 0.000 0.000 (multiplicity 1)
Ge1 0.500 0.500 0.500 (multiplicity 1)
Rh1 0.000 0.500 0.500 (multiplicity 3)

Properties
polymorph energy (0 for the lowest one)	0.408	eV per atom
spin magnetization	0.0	μB per cell
energy of formation from the pure elements	-0.1541	eV per atom
DFT total energy	-6.755	eV/atom
calculated volume	18.42	Å³ per atom

---

The following is a PBE-GGA calculation of crystalline LuMoW4 at its relaxed geometry, from the Alexandria database.

abc: 7.579 7.579 7.579
angles: 90.00 90.00 90.00
Space group F-43m (No. 216)
Inequivalent atoms, fractional coordinates:
Lu1 0.000 0.000 0.000 (multiplicity 4)
Mo1 0.250 0.250 0.250 (multiplicity 4)
W1 0.125 0.125 0.625 (multiplicity 16)

Properties
spin magnetization	0.0	μB per cell
energy of formation from the pure elements	0.1763	eV per atom
DFT total energy	-11.018	eV/atom
calculated volume	18.14	Å³ per atom

---

The following is a PBE-GGA calculation of crystalline Nd2Mg at its relaxed geometry, from the Alexandria database.

abc: 3.851 17.563 5.640
angles: 90.00 90.00 90.00
Space group Cmcm (No. 63)
Inequivalent atoms, fractional coordinates:
Nd1 0.000 0.087 0.250 (multiplicity 4)
Nd2 0.000 0.228 0.750 (multiplicity 4)
Mg1 0.000 0.431 0.250 (multiplicity 4)

Properties
polymorph energy (0 for the lowest one)	0.002	eV per atom
spin magnetization	0.0	μB per cell
energy of formation from the pure elements	-0.0612	eV per atom
DFT total energy	-3.771	eV/atom
calculated volume	31.79	Å³ per atom